The following is a DFT calculation (PBE) of an optimized crystal structure of BeCu2I6.

Lattice parameters (Å, degrees): 15.187 14.134 7.371 90.00 118.75 90.00
Space group C2/c (No. 15)
Asymmetric unit:
Be (0.000, 0.248, 0.250) x4
Cu (0.247, 0.424, 0.570) x8
I (0.091, 0.340, 0.560) x8
I (0.095, 0.156, 0.129) x8
I (0.246, 0.413, 0.225) x8

## Properties
Energy relative to the elements, uncorrected = -0.2149 eV per atom
Density = 4.30 Mg/m³
D(E_F) = 42.7 states/eV per cell

The following is a DFT calculation (PBE) of an optimized crystal structure of BeCuI.

Lattice parameters (Å, degrees): 3.654 3.754 9.404 93.55 90.71 95.47
Space group P1 (No. 1)
Asymmetric unit:
Be (0.000, 0.000, 0.000) x1
Be (0.007, 0.522, 0.150) x1
Cu (0.460, 0.066, 0.180) x1
Cu (0.501, 0.530, 0.005) x1
I (0.475, 0.973, 0.791) x1
I (0.951, 0.372, 0.390) x1

## Properties
Energy relative to the elements, uncorrected = 0.0495 eV per atom
Density = 5.17 Mg/m³
ΔE to the lowest computed polymorph = 51 meV/atom
D(E_F) = 0.6 states/eV per cell

The following is a DFT calculation (PBE) of an optimized crystal structure of BeCu2I.

Lattice parameters (Å, degrees): 4.452 4.452 15.112 90.00 90.00 90.00
Space group I-42d (No. 122)
Asymmetric unit:
Be (0.000, 0.000, 0.000) x4
Cu (0.132, 0.250, 0.125) x8
I (0.000, 0.000, 0.500) x4

## Properties
Energy relative to the elements, uncorrected = 0.4847 eV per atom
Density = 5.83 Mg/m³
ΔE to the lowest computed polymorph = 0 meV/atom
D(E_F) = 6.2 states/eV per cell

The following is a DFT calculation (PBE) of an optimized crystal structure of Be3CuI.

Lattice parameters (Å, degrees): 4.325 4.325 4.325 90.00 90.00 90.00
Space group Pm-3m (No. 221)
Asymmetric unit:
Be (0.000, 0.000, 0.500) x3
Cu (0.000, 0.000, 0.000) x1
I (0.500, 0.500, 0.500) x1

## Properties
Energy relative to the elements, uncorrected = 0.8515 eV per atom
Density = 4.47 Mg/m³
ΔE to the lowest computed polymorph = 0 meV/atom
D(E_F) = 2.2 states/eV per cell

The following is a DFT calculation (PBE) of an optimized crystal structure of BeCuI.

Lattice parameters (Å, degrees): 3.738 4.161 9.845 82.89 89.84 63.31
Space group P1 (No. 1)
Asymmetric unit:
Be (0.000, 0.000, 0.000) x1
Be (0.014, 0.976, 0.788) x1
Cu (0.346, 0.310, 0.881) x1
Cu (0.670, 0.661, 0.937) x1
I (0.065, 0.867, 0.229) x1
I (0.454, 0.100, 0.616) x1

## Properties
Energy relative to the elements, uncorrected = 0.0344 eV per atom
Density = 4.89 Mg/m³
ΔE to the lowest computed polymorph = 36 meV/atom
D(E_F) = 1.8 states/eV per cell

The following is a DFT calculation (PBE) of an optimized crystal structure of BeCuI3.

Lattice parameters (Å, degrees): 14.006 4.098 12.635 90.00 95.79 90.00
Space group C2/m (No. 12)
Asymmetric unit:
Be (0.090, 0.000, 0.271) x4
Cu (0.176, 0.500, 0.818) x4
I (0.087, 0.000, 0.743) x4
I (0.136, 0.500, 0.378) x4
I (0.152, 0.000, 0.103) x4

## Properties
Energy relative to the elements, uncorrected = -0.3274 eV per atom
Density = 4.17 Mg/m³
ΔE to the lowest computed polymorph = 0 meV/atom
D(E_F) = 0.0 states/eV per cell

The following is a DFT calculation (PBE) of an optimized crystal structure of BeCuI2.

Lattice parameters (Å, degrees): 5.819 5.819 13.306 90.00 90.00 90.00
Space group I-42d (No. 122)
Asymmetric unit:
Be (0.000, 0.000, 0.000) x4
Cu (0.000, 0.000, 0.500) x4
I (0.234, 0.250, 0.125) x8

## Properties
Energy relative to the elements, uncorrected = 0.3582 eV per atom
Density = 4.81 Mg/m³
ΔE to the lowest computed polymorph = 0 meV/atom
D(E_F) = 10.5 states/eV per cell

The following is a DFT calculation (PBE) of an optimized crystal structure of BeCuI4.

Lattice parameters (Å, degrees): 7.480 7.480 10.076 90.00 90.00 90.00
Space group P4_2/mmc (No. 131)
Asymmetric unit:
Be (0.000, 0.500, 0.000) x2
Cu (0.000, 0.000, 0.000) x2
I (0.235, 0.260, 0.000) x8

## Properties
Energy relative to the elements, uncorrected = -0.1530 eV per atom
Density = 3.42 Mg/m³
D(E_F) = 3.7 states/eV per cell

The following is a DFT calculation (PBE) of an optimized crystal structure of BeCu2I5.

Lattice parameters (Å, degrees): 7.323 7.369 7.654 101.13 105.50 119.18
Space group P1 (No. 1)
Asymmetric unit:
Be (0.000, 0.000, 0.000) x1
Cu (0.307, 0.651, 0.997) x1
Cu (0.408, 0.523, 0.509) x1
I (0.114, 0.106, 0.349) x1
I (0.245, 0.935, 0.883) x1
I (0.483, 0.816, 0.376) x1
I (0.616, 0.631, 0.877) x1
I (0.938, 0.253, 0.877) x1

## Properties
Energy relative to the elements, uncorrected = -0.2544 eV per atom
Density = 3.99 Mg/m³
D(E_F) = 7.9 states/eV per cell

The following is a DFT calculation (PBE) of an optimized crystal structure of BeCuI3.

Lattice parameters (Å, degrees): 5.304 5.304 5.304 90.00 90.00 90.00
Space group Pm-3m (No. 221)
Asymmetric unit:
Be (0.000, 0.000, 0.000) x1
Cu (0.500, 0.500, 0.500) x1
I (0.000, 0.000, 0.500) x3

## Properties
Energy relative to the elements, uncorrected = 0.4386 eV per atom
Density = 5.04 Mg/m³
ΔE to the lowest computed polymorph = 766 meV/atom
D(E_F) = 3.8 states/eV per cell

The following is a DFT calculation (PBE) of an optimized crystal structure of BeCuI.

Lattice parameters (Å, degrees): 3.796 4.113 9.561 89.43 78.69 62.52
Space group P1 (No. 1)
Asymmetric unit:
Be (0.000, 0.000, 0.000) x1
Be (0.238, 0.368, 0.158) x1
Cu (0.630, 0.646, 0.096) x1
Cu (0.867, 0.045, 0.226) x1
I (0.186, 0.215, 0.419) x1
I (0.636, 0.900, 0.825) x1

## Properties
Energy relative to the elements, uncorrected = -0.0016 eV per atom
Density = 5.12 Mg/m³
ΔE to the lowest computed polymorph = 0 meV/atom
D(E_F) = 1.5 states/eV per cell

The following is a DFT calculation (PBE) of an optimized crystal structure of BeInCuI2.

Lattice parameters (Å, degrees): 5.733 5.733 4.373 90.00 90.00 90.00
Space group P4/mmm (No. 123)
Asymmetric unit:
Be (0.000, 0.000, 0.000) x1
In (0.500, 0.500, 0.000) x1
Cu (0.000, 0.000, 0.500) x1
I (0.000, 0.500, 0.500) x2

## Properties
Energy relative to the elements, uncorrected = 0.2936 eV per atom
Density = 5.10 Mg/m³
D(E_F) = 1.0 states/eV per cell

The following is a DFT calculation (PBE) of an optimized crystal structure of KBeCu2I.

Lattice parameters (Å, degrees): 4.466 4.466 6.876 90.00 90.00 90.00
Space group P4/mmm (No. 123)
Asymmetric unit:
K (0.000, 0.000, 0.000) x1
Be (0.000, 0.000, 0.500) x1
Cu (0.000, 0.500, 0.500) x2
I (0.500, 0.500, 0.000) x1

## Properties
Energy relative to the elements, uncorrected = 0.3127 eV per atom
Density = 3.66 Mg/m³
D(E_F) = 1.2 states/eV per cell

The following is a DFT calculation (PBE) of an optimized crystal structure of MgBeCu2I.

Lattice parameters (Å, degrees): 4.914 4.914 5.795 90.00 90.00 90.00
Space group P4/mmm (No. 123)
Asymmetric unit:
Mg (0.000, 0.000, 0.000) x1
Be (0.500, 0.500, 0.000) x1
Cu (0.000, 0.500, 0.500) x2
I (0.000, 0.000, 0.500) x1

## Properties
Energy relative to the elements, uncorrected = 1.3120 eV per atom
Density = 3.41 Mg/m³
D(E_F) = 5.5 states/eV per cell

The following is a DFT calculation (PBE) of an optimized crystal structure of MnBeCu2I.

Lattice parameters (Å, degrees): 4.730 4.730 4.456 90.00 90.00 90.00
Space group P4/mmm (No. 123)
Asymmetric unit:
Mn (0.000, 0.000, 0.000) x1
Be (0.000, 0.000, 0.500) x1
Cu (0.000, 0.500, 0.000) x2
I (0.500, 0.500, 0.500) x1

## Properties
Energy relative to the elements, uncorrected = 1.0812 eV per atom
Density = 5.30 Mg/m³
D(E_F) = 3.2 states/eV per cell

The following is a DFT calculation (PBE) of an optimized crystal structure of NaBeCuI2.

Lattice parameters (Å, degrees): 5.684 5.684 4.293 90.00 90.00 90.00
Space group P4/mmm (No. 123)
Asymmetric unit:
Na (0.000, 0.000, 0.000) x1
Be (0.500, 0.500, 0.000) x1
Cu (0.500, 0.500, 0.500) x1
I (0.000, 0.500, 0.500) x2

## Properties
Energy relative to the elements, uncorrected = 0.0143 eV per atom
Density = 4.18 Mg/m³
D(E_F) = 1.1 states/eV per cell

The following is a DFT calculation (PBE) of an optimized crystal structure of BeNbCu2I.

Lattice parameters (Å, degrees): 4.807 4.807 4.577 90.00 90.00 90.00
Space group P4/mmm (No. 123)
Asymmetric unit:
Be (0.000, 0.000, 0.000) x1
Nb (0.500, 0.500, 0.000) x1
Cu (0.000, 0.500, 0.500) x2
I (0.000, 0.000, 0.500) x1

## Properties
Energy relative to the elements, uncorrected = 1.7333 eV per atom
Density = 5.59 Mg/m³
ΔE to the lowest computed polymorph = 12 meV/atom
D(E_F) = 3.9 states/eV per cell

The following is a DFT calculation (PBE) of an optimized crystal structure of BeNbCu2I.

Lattice parameters (Å, degrees): 4.731 4.731 5.171 90.00 90.00 90.00
Space group P4/mmm (No. 123)
Asymmetric unit:
Be (0.000, 0.000, 0.000) x1
Nb (0.500, 0.500, 0.000) x1
Cu (0.000, 0.500, 0.500) x2
I (0.500, 0.500, 0.500) x1

## Properties
Energy relative to the elements, uncorrected = 1.7215 eV per atom
Density = 5.11 Mg/m³
ΔE to the lowest computed polymorph = 0 meV/atom
D(E_F) = 4.4 states/eV per cell

The following is a DFT calculation (PBE) of an optimized crystal structure of BeCuI2O.

Lattice parameters (Å, degrees): 6.167 6.167 2.926 90.00 90.00 90.00
Space group P4/mmm (No. 123)
Asymmetric unit:
Be (0.000, 0.000, 0.000) x1
Cu (0.500, 0.500, 0.500) x1
I (0.000, 0.500, 0.000) x2
O (0.000, 0.000, 0.500) x1

## Properties
Energy relative to the elements, uncorrected = -0.4589 eV per atom
Density = 5.11 Mg/m³
ΔE to the lowest computed polymorph = 0 meV/atom
D(E_F) = 0.2 states/eV per cell

The following is a DFT calculation (PBE) of an optimized crystal structure of BeCuI2O.

Lattice parameters (Å, degrees): 5.419 5.419 3.673 90.00 90.00 90.00
Space group P4/mmm (No. 123)
Asymmetric unit:
Be (0.000, 0.000, 0.000) x1
Cu (0.500, 0.500, 0.500) x1
I (0.000, 0.500, 0.500) x2
O (0.500, 0.500, 0.000) x1

## Properties
Energy relative to the elements, uncorrected = 0.4722 eV per atom
Density = 5.27 Mg/m³
ΔE to the lowest computed polymorph = 931 meV/atom
D(E_F) = 5.4 states/eV per cell